{"formula": "CeMgF", "functional": "PBE-GGA", "state": "optimized geometry", "e_form_raw_ev_per_fu": -4.18, "lattice": [[14.203, 0.000, 0.000], [0.000, 1.527, 2.670], [0.000, -1.527, 2.670]], "species": ["Ce", "Ce", "Mg", "Mg", "F", "F"], "fractional_positions": [[0.208, 0.000, 0.000], [0.792, 0.000, 0.000], [0.000, 0.671, 0.671], [0.500, 0.758, 0.758], [0.417, 0.426, 0.426], [0.583, 0.426, 0.426]]}